An optimized crystal structure of K2HgAs, computed with PBE-GGA.

a = 3.586 Å, b = 5.467 Å, c = 6.772 Å
α = 90.00°, β = 90.00°, γ = 90.00°
Atoms (fractional coordinates):
K (0.000, 0.000, 0.000)
K (0.500, 0.500, 0.371)
Hg (0.500, 0.500, 0.841)
As (0.000, 0.000, 0.516)

Its space group is Pmm2, No. 25. The density of states at the Fermi level comes out at 0.662 states/eV per atom. The polymorph energy (0 for the lowest one) comes out at 208 meV/atom.

---

An optimized crystal structure of KHgAs2, computed with PBE-GGA.

a = 3.149 Å, b = 3.149 Å, c = 9.734 Å
α = 90.00°, β = 90.00°, γ = 90.00°
Atoms (fractional coordinates):
K (0.000, 0.000, 0.000)
Hg (0.000, 0.000, 0.500)
As (0.500, 0.500, 0.269)
As (0.500, 0.500, 0.731)

Its space group is P4/mmm, No. 123. The density of states at the Fermi level comes out at 0.528 states/eV per atom.

---

An optimized crystal structure of K2HgAs, computed with PBE-GGA.

a = 5.676 Å, b = 5.676 Å, c = 5.676 Å
α = 124.57°, β = 124.57°, γ = 82.25°
Atoms (fractional coordinates):
K (0.000, 0.000, 0.000)
K (0.750, 0.250, 0.500)
Hg (0.500, 0.500, 0.000)
As (0.250, 0.750, 0.500)

Its space group is I-4m2, No. 119. The density of states at the Fermi level comes out at 0.514 states/eV per atom. The polymorph energy (0 for the lowest one) comes out at 111 meV/atom.

---

An optimized crystal structure of KHgAs2, computed with PBE-GGA.

a = 4.000 Å, b = 4.000 Å, c = 6.877 Å
α = 90.00°, β = 90.00°, γ = 90.00°
Atoms (fractional coordinates):
K (0.000, 0.000, 0.000)
Hg (0.000, 0.000, 0.500)
As (0.500, 0.500, 0.326)
As (0.500, 0.500, 0.674)

Its space group is P4/mmm, No. 123. The density of states at the Fermi level comes out at 0.612 states/eV per atom.

---

An optimized crystal structure of K2HgAs, computed with PBE-GGA.

a = 5.894 Å, b = 5.894 Å, c = 5.894 Å
α = 126.99°, β = 126.99°, γ = 78.27°
Atoms (fractional coordinates):
K (0.250, 0.750, 0.500)
K (0.750, 0.250, 0.500)
Hg (0.000, 0.000, 0.000)
As (0.500, 0.500, 0.000)

Its space group is I4/mmm, No. 139. The density of states at the Fermi level comes out at 0.509 states/eV per atom. The polymorph energy (0 for the lowest one) comes out at 117 meV/atom.

---

An optimized crystal structure of KHgAs2, computed with PBE-GGA.

a = 3.398 Å, b = 3.398 Å, c = 9.041 Å
α = 90.00°, β = 90.00°, γ = 103.82°
Atoms (fractional coordinates):
K (0.000, 0.000, 0.000)
Hg (0.000, 0.000, 0.500)
As (0.500, 0.500, 0.287)
As (0.500, 0.500, 0.713)

Its space group is Cmmm, No. 65. The density of states at the Fermi level comes out at 0.625 states/eV per atom.

---

An optimized crystal structure of KHgAs2, computed with PBE-GGA.

a = 4.512 Å, b = 4.512 Å, c = 4.778 Å
α = 90.00°, β = 90.00°, γ = 90.00°
Atoms (fractional coordinates):
K (0.000, 0.000, 0.000)
Hg (0.500, 0.500, 0.000)
As (0.000, 0.500, 0.500)
As (0.500, 0.000, 0.500)

Its space group is P4/mmm, No. 123. The density of states at the Fermi level comes out at 0.618 states/eV per atom.

---

An optimized crystal structure of K3HgAs, computed with PBE-GGA.

a = 5.379 Å, b = 9.039 Å, c = 7.798 Å
α = 90.00°, β = 90.00°, γ = 90.00°
Atoms (fractional coordinates):
K (0.250, 0.036, 0.213)
K (0.250, 0.250, 0.791)
K (0.250, 0.464, 0.213)
K (0.750, 0.536, 0.787)
K (0.750, 0.750, 0.209)
K (0.750, 0.964, 0.787)
Hg (0.250, 0.750, 0.569)
Hg (0.750, 0.250, 0.431)
As (0.250, 0.750, 0.915)
As (0.750, 0.250, 0.085)

Its space group is Pmmn, No. 59. The density of states at the Fermi level comes out at 0.272 states/eV per atom. The polymorph energy (0 for the lowest one) comes out at 0 meV/atom.

---

An optimized crystal structure of K4HgAs3, computed with PBE-GGA.

a = 4.540 Å, b = 5.180 Å, c = 11.793 Å
α = 90.00°, β = 90.00°, γ = 90.00°
Atoms (fractional coordinates):
K (0.000, 0.000, 0.000)
K (0.000, 0.500, 0.479)
K (0.500, 0.000, 0.699)
K (0.500, 0.500, 0.206)
Hg (0.000, 0.500, 0.791)
As (0.000, 0.000, 0.294)
As (0.500, 0.000, 0.399)
As (0.500, 0.500, 0.909)

Its space group is Pmm2, No. 25. The density of states at the Fermi level comes out at 0.486 states/eV per atom.

---

An optimized crystal structure of K2HgAs2, computed with PBE-GGA.

a = 6.485 Å, b = 6.485 Å, c = 6.485 Å
α = 121.04°, β = 121.04°, γ = 88.21°
Atoms (fractional coordinates):
K (0.250, 0.750, 0.500)
K (0.750, 0.250, 0.500)
Hg (0.000, 0.000, 0.000)
As (0.376, 0.376, 0.000)
As (0.624, 0.624, 0.000)

Its space group is I4/mmm, No. 139. The density of states at the Fermi level comes out at 0.618 states/eV per atom. The polymorph energy (0 for the lowest one) comes out at 112 meV/atom.

---

An optimized crystal structure of K2HgAs2, computed with PBE-GGA.

a = 8.346 Å, b = 8.346 Å, c = 4.696 Å
α = 90.00°, β = 90.00°, γ = 90.00°
Atoms (fractional coordinates):
K (0.190, 0.310, 0.000)
K (0.310, 0.810, 0.000)
K (0.690, 0.190, 0.000)
K (0.810, 0.690, 0.000)
Hg (0.000, 0.000, 0.500)
Hg (0.500, 0.500, 0.500)
As (0.099, 0.599, 0.500)
As (0.401, 0.099, 0.500)
As (0.599, 0.901, 0.500)
As (0.901, 0.401, 0.500)

Its space group is P4/mbm, No. 127. The density of states at the Fermi level comes out at 0.571 states/eV per atom. The polymorph energy (0 for the lowest one) comes out at 0 meV/atom.

---

An optimized crystal structure of K8HgAs2, computed with PBE-GGA.

a = 9.835 Å, b = 9.835 Å, c = 9.835 Å
α = 146.98°, β = 122.18°, γ = 68.21°
Atoms (fractional coordinates):
K (0.123, 0.336, 0.788)
K (0.158, 0.158, 0.000)
K (0.322, 0.000, 0.322)
K (0.452, 0.664, 0.788)
K (0.548, 0.336, 0.212)
K (0.678, 0.000, 0.678)
K (0.842, 0.842, 0.000)
K (0.877, 0.664, 0.212)
Hg (0.000, 0.500, 0.500)
As (0.306, 0.806, 0.500)
As (0.694, 0.194, 0.500)

Its space group is Immm, No. 71. The density of states at the Fermi level comes out at 0.428 states/eV per atom.

---

An optimized crystal structure of K2HgAs, computed with PBE-GGA.

a = 4.383 Å, b = 4.383 Å, c = 7.128 Å
α = 90.00°, β = 90.00°, γ = 90.00°
Atoms (fractional coordinates):
K (0.000, 0.000, 0.000)
K (0.500, 0.500, 0.350)
Hg (0.500, 0.500, 0.808)
As (0.000, 0.000, 0.538)

Its space group is P4mm, No. 99. The density of states at the Fermi level comes out at 0.860 states/eV per atom. The polymorph energy (0 for the lowest one) comes out at 248 meV/atom.

---

An optimized crystal structure of KLaHg2As, computed with PBE-GGA.

a = 5.440 Å, b = 5.440 Å, c = 5.814 Å
α = 90.00°, β = 90.00°, γ = 90.00°
Atoms (fractional coordinates):
K (0.000, 0.000, 0.000)
La (0.500, 0.500, 0.500)
Hg (0.000, 0.500, 0.000)
Hg (0.500, 0.000, 0.000)
As (0.000, 0.000, 0.500)

Its space group is P4/mmm, No. 123. The density of states at the Fermi level comes out at 0.617 states/eV per atom.

---

Here are the calculated ΔH_f (0 K) numbers, same order: -100, 247, -197, -3, -192, 209, 164, -334, -353, -180, -292, -233, -61, 279 (meV per atom).